The following is a GGA-PBE calculation of a relaxed structure of K4IO, from the Alexandria database.

## Properties
Space group: No. 14
Raw formation energy: -0.9817 eV per atom
Calculated volume: 1096.0 Å³/cell
Energy above the lowest structure with this stoichiometry: 0.000 eV per atom

abc: 13.930 9.081 8.921
angles: 90.00 103.78 90.00
Fractional coordinates of all 24 atoms:
K  0.048  0.106  0.232
K  0.048  0.394  0.732
K  0.205  0.138  0.611
K  0.205  0.362  0.111
K  0.296  0.590  0.786
K  0.296  0.910  0.286
K  0.399  0.231  0.957
K  0.399  0.269  0.457
K  0.601  0.731  0.543
K  0.601  0.769  0.043
K  0.704  0.090  0.714
K  0.704  0.410  0.214
K  0.795  0.638  0.889
K  0.795  0.862  0.389
K  0.952  0.606  0.268
K  0.952  0.894  0.768
I  0.433  0.571  0.213
I  0.433  0.929  0.713
I  0.567  0.071  0.287
I  0.567  0.429  0.787
O  0.232  0.159  0.326
O  0.232  0.341  0.826
O  0.768  0.659  0.174
O  0.768  0.841  0.674


The following is a GGA-PBE calculation of a relaxed structure of KI3O, from the Alexandria database.

## Properties
Space group: No. 221
Raw formation energy: 0.7521 eV per atom
Calculated volume: 306.4 Å³/cell
Energy above the lowest structure with this stoichiometry: 1.029 eV per atom

abc: 6.742 6.742 6.742
angles: 90.00 90.00 90.00
Fractional coordinates of all 5 atoms:
K  0.000  0.000  0.000
I  0.000  0.000  0.500
I  0.000  0.500  0.000
I  0.500  0.000  0.000
O  0.500  0.500  0.500


The following is a GGA-PBE calculation of a relaxed structure of K11IO5, from the Alexandria database.

## Properties
Space group: No. 12
Raw formation energy: -1.0063 eV per atom
Calculated volume: 473.2 Å³/cell

abc: 8.259 8.259 7.556
angles: 102.92 102.92 101.17
Fractional coordinates of all 17 atoms:
K  0.000  0.000  0.000
K  0.138  0.686  0.158
K  0.175  0.446  0.548
K  0.314  0.862  0.842
K  0.320  0.320  0.178
K  0.446  0.175  0.548
K  0.554  0.825  0.452
K  0.680  0.680  0.822
K  0.686  0.138  0.158
K  0.825  0.554  0.452
K  0.862  0.314  0.842
I  0.000  0.000  0.500
O  0.001  0.368  0.199
O  0.368  0.001  0.199
O  0.500  0.500  0.500
O  0.632  0.999  0.801
O  0.999  0.632  0.801


The following is a GGA-PBE calculation of a relaxed structure of KI2O2, from the Alexandria database.

## Properties
Space group: No. 123
Raw formation energy: -0.3224 eV per atom
Calculated volume: 135.6 Å³/cell
Energy above the lowest structure with this stoichiometry: 0.000 eV per atom

abc: 4.303 4.303 7.322
angles: 90.00 90.00 90.00
Fractional coordinates of all 5 atoms:
K  0.000  0.000  0.000
I  0.500  0.500  0.000
I  0.500  0.500  0.500
O  0.000  0.500  0.500
O  0.500  0.000  0.500


The following is a GGA-PBE calculation of a relaxed structure of K3I2O6, from the Alexandria database.

## Properties
Space group: No. 139
Raw formation energy: -0.8883 eV per atom
Calculated volume: 199.6 Å³/cell

abc: 11.082 11.082 11.082
angles: 157.47 157.47 32.07
Fractional coordinates of all 11 atoms:
K  0.000  0.000  0.000
K  0.185  0.185  0.000
K  0.815  0.815  0.000
I  0.400  0.400  0.000
I  0.600  0.600  0.000
O  0.092  0.592  0.500
O  0.313  0.313  0.000
O  0.408  0.908  0.500
O  0.592  0.092  0.500
O  0.687  0.687  0.000
O  0.908  0.408  0.500


The following is a GGA-PBE calculation of a relaxed structure of K2I2O7, from the Alexandria database.

## Properties
Space group: No. 12
Raw formation energy: -0.7372 eV per atom
Calculated volume: 245.5 Å³/cell

abc: 6.745 6.745 5.584
angles: 97.90 97.90 98.57
Fractional coordinates of all 11 atoms:
K  0.199  0.801  0.000
K  0.801  0.199  0.000
I  0.277  0.277  0.582
I  0.723  0.723  0.418
O  0.110  0.393  0.766
O  0.116  0.116  0.318
O  0.393  0.110  0.766
O  0.500  0.500  0.500
O  0.607  0.890  0.234
O  0.884  0.884  0.682
O  0.890  0.607  0.234


The following is a GGA-PBE calculation of a relaxed structure of K4IO6, from the Alexandria database.

## Properties
Space group: No. 167
Raw formation energy: -1.1258 eV per atom
Calculated volume: 413.4 Å³/cell

abc: 7.452 7.452 7.452
angles: 88.61 88.61 88.61
Fractional coordinates of all 22 atoms:
K  0.105  0.750  0.395
K  0.250  0.250  0.250
K  0.250  0.605  0.895
K  0.395  0.105  0.750
K  0.605  0.895  0.250
K  0.750  0.395  0.105
K  0.750  0.750  0.750
K  0.895  0.250  0.605
I  0.000  0.000  0.000
I  0.500  0.500  0.500
O  0.056  0.936  0.758
O  0.064  0.242  0.944
O  0.242  0.944  0.064
O  0.258  0.436  0.556
O  0.436  0.556  0.258
O  0.444  0.742  0.564
O  0.556  0.258  0.436
O  0.564  0.444  0.742
O  0.742  0.564  0.444
O  0.758  0.056  0.936
O  0.936  0.758  0.056
O  0.944  0.064  0.242


The following is a GGA-PBE calculation of a relaxed structure of K8I3O2, from the Alexandria database.

## Properties
Space group: No. 2
Raw formation energy: -1.1021 eV per atom
Calculated volume: 575.5 Å³/cell

abc: 8.497 8.645 9.901
angles: 113.01 94.22 115.89
Fractional coordinates of all 13 atoms:
K  0.146  0.452  0.082
K  0.200  0.787  0.487
K  0.259  0.399  0.751
K  0.268  0.999  0.201
K  0.732  0.001  0.799
K  0.741  0.601  0.249
K  0.800  0.213  0.513
K  0.854  0.548  0.918
I  0.384  0.149  0.904
I  0.500  0.500  0.500
I  0.616  0.851  0.096
O  0.054  0.699  0.217
O  0.946  0.301  0.783


Please write out number 8 again, unchanged.
The following is a GGA-PBE calculation of a relaxed structure of K8I3O2, from the Alexandria database.

## Properties
Space group: No. 2
Raw formation energy: -1.1021 eV per atom
Calculated volume: 575.5 Å³/cell

abc: 8.497 8.645 9.901
angles: 113.01 94.22 115.89
Fractional coordinates of all 13 atoms:
K  0.146  0.452  0.082
K  0.200  0.787  0.487
K  0.259  0.399  0.751
K  0.268  0.999  0.201
K  0.732  0.001  0.799
K  0.741  0.601  0.249
K  0.800  0.213  0.513
K  0.854  0.548  0.918
I  0.384  0.149  0.904
I  0.500  0.500  0.500
I  0.616  0.851  0.096
O  0.054  0.699  0.217
O  0.946  0.301  0.783


Q: Which of these has the highest calculated volume?
A: K4IO


Q: calculated volume of number 1 (K4IO)?
A: 1096.0 Å³/cell


Q: Which formula does entry 7 have?
A: K4IO6